Record 1
{
  "formula": "SrBeAs2",
  "functional": "GGA-PBE",
  "state": "relaxed",
  "cell": [[4.2116, 0.0000, 0.0000], [0.0000, 4.2116, 0.0000], [0.0000, 0.0000, 9.4747]],
  "species": ["Sr", "Sr", "Be", "Be", "As", "As", "As", "As"],
  "frac_coords": [[0.0000, 0.0000, 0.0000], [0.5000, 0.5000, 0.5000], [0.0000, 0.5000, 0.2500], [0.5000, 0.0000, 0.7500], [0.0000, 0.0000, 0.5000], [0.0000, 0.5000, 0.7500], [0.5000, 0.0000, 0.2500], [0.5000, 0.5000, 0.0000]],
  "formation_energy_ev_per_atom": 0.086,
  "magmom_total_mub_per_fu": 0.000,
  "spacegroup": "No. 119",
  "final_energy_ev_per_cell": -28.73
}

=====

Record 2
{
  "formula": "Sr2BeAs",
  "functional": "GGA-PBE",
  "state": "relaxed",
  "cell": [[3.9166, 0.0000, 0.0000], [0.0000, 4.2890, 0.0000], [0.0000, 0.0000, 15.1445]],
  "species": ["Sr", "Sr", "Sr", "Sr", "Be", "Be", "As", "As"],
  "frac_coords": [[0.0000, 0.0000, 0.0000], [0.0000, 0.5000, 0.2522], [0.5000, 0.0000, 0.7522], [0.5000, 0.5000, 0.5000], [0.0000, 0.0000, 0.4106], [0.5000, 0.5000, 0.9106], [0.0000, 0.5000, 0.8366], [0.5000, 0.0000, 0.3366]],
  "formation_energy_ev_per_atom": -0.383,
  "magmom_total_mub_per_fu": 0.000,
  "spacegroup": "No. 44",
  "final_energy_ev_per_cell": -26.54,
  "de_polymorph_mev_per_atom": 71
}

=====

Record 3
{
  "formula": "SrBeAs2",
  "functional": "GGA-PBE",
  "state": "relaxed",
  "cell": [[3.5709, 0.0000, 0.0000], [0.0000, 3.5709, 0.0000], [0.0000, 0.0000, 6.4303]],
  "species": ["Sr", "Be", "As", "As"],
  "frac_coords": [[0.0000, 0.0000, 0.0000], [0.0000, 0.0000, 0.5000], [0.5000, 0.5000, 0.3107], [0.5000, 0.5000, 0.6893]],
  "formation_energy_ev_per_atom": -0.054,
  "magmom_total_mub_per_fu": 0.000,
  "spacegroup": "No. 123",
  "final_energy_ev_per_cell": -14.92
}

=====

Record 4
{
  "formula": "SrBeAs2",
  "functional": "GGA-PBE",
  "state": "relaxed",
  "cell": [[3.1691, 0.0000, 0.0000], [0.0000, 3.6646, 0.0000], [0.0000, 0.0000, 8.0352]],
  "species": ["Sr", "Be", "As", "As"],
  "frac_coords": [[0.0000, 0.0000, 0.0000], [0.5000, 0.5000, 0.5074], [0.0000, 0.0000, 0.6146], [0.5000, 0.5000, 0.2287]],
  "formation_energy_ev_per_atom": -0.037,
  "magmom_total_mub_per_fu": 0.000,
  "spacegroup": "No. 25",
  "final_energy_ev_per_cell": -14.85
}

=====

Record 5
{
  "formula": "SrBeAs2",
  "functional": "GGA-PBE",
  "state": "relaxed",
  "cell": [[4.3093, 0.0000, 0.0000], [-2.1546, 3.7319, 0.0000], [0.0000, 0.0000, 16.0631]],
  "species": ["Sr", "Sr", "Sr", "Be", "Be", "Be", "As", "As", "As", "As", "As", "As"],
  "frac_coords": [[0.0000, 0.0000, 0.0000], [0.3333, 0.6667, 0.6667], [0.6667, 0.3333, 0.3333], [0.0000, 0.0000, 0.5000], [0.3333, 0.6667, 0.1667], [0.6667, 0.3333, 0.8333], [0.0000, 0.0000, 0.2058], [0.0000, 0.0000, 0.7942], [0.3333, 0.6667, 0.4609], [0.3333, 0.6667, 0.8725], [0.6667, 0.3333, 0.1275], [0.6667, 0.3333, 0.5391]],
  "formation_energy_ev_per_atom": -0.257,
  "magmom_total_mub_per_fu": 0.000,
  "spacegroup": "No. 166",
  "final_energy_ev_per_cell": -47.21
}

=====

Record 6
{
  "formula": "SrBeAs2",
  "functional": "GGA-PBE",
  "state": "relaxed",
  "cell": [[3.9209, 0.0000, 0.0000], [0.0000, 6.3472, 0.0000], [0.0000, 0.0000, 7.3232]],
  "species": ["Sr", "Sr", "Be", "Be", "As", "As", "As", "As"],
  "frac_coords": [[0.0000, 0.0000, 0.0000], [0.5000, 0.5000, 0.5000], [0.0000, 0.0000, 0.5000], [0.5000, 0.5000, 0.0000], [0.0000, 0.5000, 0.1760], [0.0000, 0.5000, 0.8240], [0.5000, 0.0000, 0.3240], [0.5000, 0.0000, 0.6760]],
  "formation_energy_ev_per_atom": -0.275,
  "magmom_total_mub_per_fu": 0.000,
  "spacegroup": "No. 71",
  "final_energy_ev_per_cell": -31.61
}